A geometry-optimized Ti3PtC structure, computed with PBE. Values from VASP.

Results
Space group = No. 12
Final energy = -42.72 eV per formula unit
Spin magnetization = 0.00 μB per formula unit
Formation energy from the elements = -0.75 eV per atom
E above lowest polymorph = 71.5 meV per atom

```
&SYSTEM
  ibrav = 0, nat = 10, ntyp = 3
/
ATOMIC_SPECIES
Ti 47.87 Ti.upf
C 12.01 C.upf
Pt 195.08 Pt.upf
ATOMIC_POSITIONS crystal
Ti 0.028 0.825 0.806
Ti 0.172 0.189 0.560
Ti 0.713 0.591 0.532
Ti 0.569 0.228 0.778
Ti 0.446 0.859 0.032
Ti 0.295 0.557 0.306
C 0.299 0.527 0.793
C 0.442 0.889 0.546
Pt 0.812 0.024 0.298
Pt 0.928 0.392 0.040
CELL_PARAMETERS angstrom
7.336 0.001 0.003
1.808 5.021 0.000
-1.246 -1.369 3.852
```

A geometry-optimized Sm3Ga4Cu4 structure, computed with PBE. Values from VASP.

Results
Space group = No. 2
Final energy = -47.50 eV per formula unit
Spin magnetization = 0.00 μB per formula unit
Formation energy from the elements = -0.44 eV per atom

```
&SYSTEM
  ibrav = 0, nat = 11, ntyp = 3
/
ATOMIC_SPECIES
Cu 63.55 Cu.upf
Ga 69.72 Ga.upf
Sm 150.36 Sm.upf
ATOMIC_POSITIONS crystal
Cu 0.549 0.547 0.904
Cu 0.306 0.807 0.388
Cu 0.694 0.193 0.612
Cu 0.451 0.453 0.096
Ga 0.600 0.097 0.804
Ga 0.251 0.251 0.499
Ga 0.749 0.749 0.501
Ga 0.400 0.903 0.196
Sm 0.150 0.649 0.700
Sm 0.000 0.000 0.000
Sm 0.850 0.351 0.300
CELL_PARAMETERS angstrom
4.049 0.003 0.003
0.003 4.166 0.003
2.019 2.072 12.749
```